Below is a relaxed structure of RbCu2H, with properties calculated at the GGA-PBE level.

## Properties
total moment = 0.000 μB per atom
energy relative to the lowest polymorph listed for this composition = 0.847 eV/atom
space group = Fm-3m (225)

Structure (CIF):
```
data_RbCu2H
_chemical_formula_sum 'Rb1 Cu2 H1'
_cell_length_a 4.9432
_cell_length_b 4.9432
_cell_length_c 4.9432
_cell_angle_alpha 60.00
_cell_angle_beta 60.00
_cell_angle_gamma 60.00
_symmetry_space_group_name_H-M 'P 1'
_symmetry_Int_Tables_number 1
_symmetry_space_group_name_Hall 'P 1'
loop_
_atom_site_label
_atom_site_fract_x
_atom_site_fract_y
_atom_site_fract_z
Rb1 0.5000 0.5000 0.5000
Cu1 0.7500 0.7500 0.7500
H1 0.0000 0.0000 0.0000
Cu2 0.2500 0.2500 0.2500
```

Below is a relaxed structure of RbCu3H, with properties calculated at the GGA-PBE level.

## Properties
total moment = 0.200 μB per atom
energy relative to the lowest polymorph listed for this composition = 1.176 eV/atom
space group = Pm-3m (221)

Structure (CIF):
```
data_RbCu3H
_chemical_formula_sum 'Rb1 Cu3 H1'
_cell_length_a 6.4512
_cell_length_b 6.4512
_cell_length_c 6.4512
_cell_angle_alpha 90.00
_cell_angle_beta 90.00
_cell_angle_gamma 90.00
_symmetry_space_group_name_H-M 'P 1'
_symmetry_Int_Tables_number 1
_symmetry_space_group_name_Hall 'P 1'
loop_
_atom_site_label
_atom_site_fract_x
_atom_site_fract_y
_atom_site_fract_z
H1 0.5000 0.5000 0.5000
Cu1 0.5000 0.0000 0.0000
Rb1 0.0000 0.0000 0.0000
Cu2 0.0000 0.0000 0.5000
Cu3 0.0000 0.5000 0.0000
```

Below is a relaxed structure of RbCuH2Ru, with properties calculated at the GGA-PBE level.

## Properties
total moment = 0.658 μB per atom
electronic total energy = -11.84 eV per cell
space group = P4/mmm (123)

Structure (CIF):
```
data_RbCuH2Ru
_chemical_formula_sum 'Rb1 Cu1 H2 Ru1'
_cell_length_a 3.9815
_cell_length_b 6.6672
_cell_length_c 3.9815
_cell_angle_alpha 90.00
_cell_angle_beta 90.00
_cell_angle_gamma 90.00
_symmetry_space_group_name_H-M 'P 1'
_symmetry_Int_Tables_number 1
_symmetry_space_group_name_Hall 'P 1'
loop_
_atom_site_label
_atom_site_fract_x
_atom_site_fract_y
_atom_site_fract_z
Rb1 0.0000 0.0000 0.0000
Cu1 0.0000 0.5000 0.0000
H1 0.5000 0.0000 0.0000
H2 0.0000 0.0000 0.5000
Ru1 0.5000 0.5000 0.5000
```

Below is a relaxed structure of Rb2CuHS2, with properties calculated at the GGA-PBE level.

## Properties
total moment = 0.000 μB per atom
electronic total energy = -40.10 eV per cell
space group = Ibam (72)

Structure (CIF):
```
data_Rb2CuHS2
_chemical_formula_sum 'Rb4 Cu2 H2 S4'
_cell_length_a 6.8145
_cell_length_b 9.7426
_cell_length_c 8.4108
_cell_angle_alpha 125.39
_cell_angle_beta 113.90
_cell_angle_gamma 90.00
_symmetry_space_group_name_H-M 'P 1'
_symmetry_Int_Tables_number 1
_symmetry_space_group_name_Hall 'P 1'
loop_
_atom_site_label
_atom_site_fract_x
_atom_site_fract_y
_atom_site_fract_z
S1 0.6199 0.6141 0.2398
H1 0.2500 0.0000 0.0000
S2 0.3801 0.3859 0.7602
S3 0.1199 0.6257 0.2398
Rb1 0.3769 0.0349 0.7538
Cu1 0.2500 0.5000 0.0000
Rb2 0.8769 0.7189 0.7538
S4 0.8801 0.3743 0.7602
Rb3 0.1231 0.2811 0.2462
H2 0.7500 0.0000 0.0000
Cu2 0.7500 0.5000 0.0000
Rb4 0.6231 0.9651 0.2462
```

Below is a relaxed structure of RbCu2SbH, with properties calculated at the GGA-PBE level.

## Properties
total moment = 0.000 μB per atom
electronic total energy = -13.28 eV per cell
space group = P4/mmm (123)

Structure (CIF):
```
data_RbCu2SbH
_chemical_formula_sum 'Rb1 Cu2 Sb1 H1'
_cell_length_a 4.5280
_cell_length_b 4.7886
_cell_length_c 4.5280
_cell_angle_alpha 90.00
_cell_angle_beta 90.00
_cell_angle_gamma 90.00
_symmetry_space_group_name_H-M 'P 1'
_symmetry_Int_Tables_number 1
_symmetry_space_group_name_Hall 'P 1'
loop_
_atom_site_label
_atom_site_fract_x
_atom_site_fract_y
_atom_site_fract_z
Rb1 0.0000 0.5000 0.0000
H1 0.0000 0.0000 0.0000
Cu1 0.0000 0.0000 0.5000
Cu2 0.5000 0.0000 0.0000
Sb1 0.5000 0.5000 0.5000
```

Below is a relaxed structure of RbCuSb2H, with properties calculated at the GGA-PBE level.

## Properties
total moment = 0.000 μB per atom
electronic total energy = -14.27 eV per cell
space group = P4/mmm (123)

Structure (CIF):
```
data_RbCuSb2H
_chemical_formula_sum 'Rb1 Cu1 Sb2 H1'
_cell_length_a 4.7624
_cell_length_b 5.0868
_cell_length_c 4.7624
_cell_angle_alpha 90.00
_cell_angle_beta 90.00
_cell_angle_gamma 90.00
_symmetry_space_group_name_H-M 'P 1'
_symmetry_Int_Tables_number 1
_symmetry_space_group_name_Hall 'P 1'
loop_
_atom_site_label
_atom_site_fract_x
_atom_site_fract_y
_atom_site_fract_z
H1 0.0000 0.0000 0.0000
Sb1 0.0000 0.0000 0.5000
Sb2 0.5000 0.0000 0.0000
Cu1 0.5000 0.5000 0.5000
Rb1 0.0000 0.5000 0.0000
```